[1]
# GGA-PBE ZnFe2Ir, optimized geometry
data_ZnFe2Ir
_chemical_formula_sum 'Zn2 Fe4 Ir2'
_cell_length_a 8.7074
_cell_length_b 2.6858
_cell_length_c 4.5497
_cell_angle_alpha 90.00
_cell_angle_beta 101.72
_cell_angle_gamma 90.00
_symmetry_space_group_name_H-M 'C 1 m 1'
_symmetry_Int_Tables_number 8
loop_
_symmetry_equiv_pos_as_xyz
'x,y,z'
'x,-y,z'
'x+1/2,y+1/2,z'
'x+1/2,-y+1/2,z'
loop_
_atom_site_label
_atom_site_type_symbol
_atom_site_fract_x
_atom_site_fract_y
_atom_site_fract_z
Zn1 Zn 0.0000 0.0000 0.0000
Fe1 Fe 0.2532 0.5000 0.2468
Fe2 Fe 0.4979 0.0000 0.4911
Ir1 Ir 0.2443 0.0000 0.7366
# Density of states at the Fermi level (states/eV/f.u.): 4.37
# VASP energy (eV/atom): -6.792
# ΔE_f (eV per atom): -0.027

[2]
# GGA-PBE ZnFeIr2, optimized geometry
data_ZnFeIr2
_chemical_formula_sum 'Zn3 Fe3 Ir6'
_cell_length_a 2.7463
_cell_length_b 2.7463
_cell_length_c 25.5412
_cell_angle_alpha 90.00
_cell_angle_beta 90.00
_cell_angle_gamma 120.00
_symmetry_space_group_name_H-M 'R -3 m'
_symmetry_Int_Tables_number 166
_symmetry_space_group_name_Hall '-R 3 2"'
loop_
_atom_site_label
_atom_site_type_symbol
_atom_site_fract_x
_atom_site_fract_y
_atom_site_fract_z
Zn1 Zn 0.0000 0.0000 0.0000
Fe1 Fe 0.0000 0.0000 0.5000
Ir1 Ir 0.0000 0.0000 0.2473
# Density of states at the Fermi level (states/eV/f.u.): 4.38
# VASP energy (eV/atom): -6.946
# ΔE_f (eV per atom): -0.081

[3]
# GGA-PBE ZnFe2Ir, optimized geometry
data_ZnFe2Ir
_chemical_formula_sum 'Zn1 Fe2 Ir1'
_cell_length_a 2.6559
_cell_length_b 2.6559
_cell_length_c 7.3327
_cell_angle_alpha 90.00
_cell_angle_beta 90.00
_cell_angle_gamma 90.00
_symmetry_space_group_name_H-M 'P 4/m m m'
_symmetry_Int_Tables_number 123
_symmetry_space_group_name_Hall '-P 4 2'
loop_
_atom_site_label
_atom_site_type_symbol
_atom_site_fract_x
_atom_site_fract_y
_atom_site_fract_z
Zn1 Zn 0.0000 0.0000 0.0000
Fe1 Fe 0.5000 0.5000 0.2507
Ir1 Ir 0.0000 0.0000 0.5000
# Density of states at the Fermi level (states/eV/f.u.): 3.73
# VASP energy (eV/atom): -6.772
# ΔE_f (eV per atom): -0.007

[4]
# GGA-PBE ZnFeIr2, optimized geometry
data_ZnFeIr2
_chemical_formula_sum 'Zn2 Fe2 Ir4'
_cell_length_a 2.7390
_cell_length_b 4.6462
_cell_length_c 8.8992
_cell_angle_alpha 90.00
_cell_angle_beta 90.00
_cell_angle_gamma 90.00
_symmetry_space_group_name_H-M 'C m m 2'
_symmetry_Int_Tables_number 35
loop_
_symmetry_equiv_pos_as_xyz
'x,y,z'
'-x,-y,z'
'-x,y,z'
'x,-y,z'
'x+1/2,y+1/2,z'
'-x+1/2,-y+1/2,z'
'-x+1/2,y+1/2,z'
'x+1/2,-y+1/2,z'
loop_
_atom_site_label
_atom_site_type_symbol
_atom_site_fract_x
_atom_site_fract_y
_atom_site_fract_z
Zn1 Zn 0.0000 0.0000 0.0000
Fe1 Fe 0.0000 0.5000 0.2431
Ir1 Ir 0.0000 0.0000 0.4839
Ir2 Ir 0.0000 0.5000 0.7497
# Density of states at the Fermi level (states/eV/f.u.): 4.64
# VASP energy (eV/atom): -6.730
# ΔE_f (eV per atom): 0.135

M_tot list, top to bottom, in μB/f.u.: 5.2 3.3 4.5 2.8